[1]
A plane-wave DFT calculation with GGA-PBE was carried out for LiLuCoSe3 after structural relaxation.

Output
Its symmetry is Cmcm (63). The value obtained for the total moment is 4.8 μB per cell. The calculation puts the total energy at -60.5 eV/cell.

a = 3.827 Å, b = 6.716 Å, c = 10.473 Å
α = 90.00°, β = 90.00°, γ = 73.45°
Positions (direct):
1 Lu 0.000 0.000 0.000
2 Lu 0.000 0.000 0.500
3 Se 0.357 0.285 0.922
4 Se 0.357 0.285 0.578
5 Se 0.910 0.180 0.250
6 Se 0.090 0.820 0.750
7 Se 0.643 0.715 0.078
8 Se 0.643 0.715 0.422
9 Co 0.479 0.041 0.750
10 Co 0.521 0.959 0.250
11 Li 0.217 0.567 0.250
12 Li 0.783 0.433 0.750

[2]
A plane-wave DFT calculation with GGA-PBE was carried out for AlHg2SbCl4 after structural relaxation.

Output
Its symmetry is Pna2_1 (33). The calculation puts the total energy at -188.1 eV/cell.

a = 17.913 Å, b = 8.911 Å, c = 12.311 Å
α = 90.00°, β = 90.00°, γ = 90.00°
Positions (direct):
1 Hg 0.743 0.706 0.904
2 Hg 0.379 0.083 0.136
3 Hg 0.257 0.294 0.404
4 Hg 0.621 0.917 0.636
5 Hg 0.121 0.583 0.636
6 Hg 0.243 0.794 0.904
7 Hg 0.376 0.584 0.169
8 Hg 0.879 0.417 0.136
9 Hg 0.624 0.416 0.669
10 Hg 0.507 0.256 0.400
11 Hg 0.124 0.084 0.669
12 Hg 0.876 0.916 0.169
13 Hg 0.757 0.206 0.404
14 Hg 0.993 0.756 0.900
15 Hg 0.007 0.244 0.400
16 Hg 0.493 0.744 0.900
17 Sb 0.129 0.317 0.525
18 Sb 0.882 0.182 0.279
19 Sb 0.629 0.183 0.525
20 Sb 0.871 0.683 0.025
21 Sb 0.371 0.817 0.025
22 Sb 0.618 0.682 0.779
23 Sb 0.382 0.318 0.279
24 Sb 0.118 0.818 0.779
25 Al 0.134 0.838 0.291
26 Al 0.634 0.662 0.291
27 Al 0.366 0.338 0.791
28 Al 0.866 0.162 0.791
29 Al 0.378 0.833 0.511
30 Al 0.122 0.333 0.011
31 Al 0.622 0.167 0.011
32 Al 0.878 0.667 0.511
33 Cl 0.073 0.885 0.439
34 Cl 0.427 0.385 0.939
35 Cl 0.435 0.926 0.371
36 Cl 0.272 0.943 0.531
37 Cl 0.065 0.426 0.871
38 Cl 0.705 0.473 0.250
39 Cl 0.799 0.360 0.808
40 Cl 0.446 0.309 0.661
41 Cl 0.554 0.691 0.161
42 Cl 0.573 0.615 0.439
43 Cl 0.556 0.124 0.155
44 Cl 0.444 0.876 0.655
45 Cl 0.795 0.973 0.750
46 Cl 0.201 0.640 0.308
47 Cl 0.944 0.624 0.655
48 Cl 0.935 0.574 0.371
49 Cl 0.927 0.115 0.939
50 Cl 0.728 0.057 0.031
51 Cl 0.054 0.809 0.161
52 Cl 0.635 0.403 0.984
53 Cl 0.228 0.443 0.031
54 Cl 0.295 0.527 0.750
55 Cl 0.205 0.027 0.250
56 Cl 0.299 0.140 0.808
57 Cl 0.772 0.557 0.531
58 Cl 0.701 0.860 0.308
59 Cl 0.946 0.191 0.661
60 Cl 0.135 0.097 0.984
61 Cl 0.865 0.903 0.484
62 Cl 0.365 0.597 0.484
63 Cl 0.565 0.074 0.871
64 Cl 0.056 0.376 0.155

[3]
A plane-wave DFT calculation with GGA-PBE was carried out for NaLaHgSe3 after structural relaxation.

Output
Its symmetry is Pnma (62). As for the excess energy over the best structure of this formula in the dataset: 30 meV/atom. The value obtained for the total moment is 0.0 μB per cell. The calculation puts the total energy at -95.4 eV/cell.

a = 8.546 Å, b = 4.332 Å, c = 17.592 Å
α = 90.00°, β = 90.00°, γ = 90.00°
Positions (direct):
1 Se 0.512 0.750 0.576
2 Se 0.122 0.250 0.567
3 Se 0.988 0.250 0.076
4 Se 0.720 0.750 0.212
5 Se 0.012 0.750 0.924
6 Se 0.780 0.250 0.712
7 Se 0.878 0.750 0.433
8 Se 0.220 0.750 0.288
9 Se 0.488 0.250 0.424
10 Se 0.622 0.250 0.933
11 Se 0.378 0.750 0.067
12 Se 0.280 0.250 0.788
13 Hg 0.559 0.750 0.337
14 Hg 0.941 0.250 0.837
15 Hg 0.059 0.750 0.163
16 Hg 0.441 0.250 0.663
17 La 0.777 0.250 0.538
18 La 0.277 0.250 0.962
19 La 0.723 0.750 0.038
20 La 0.223 0.750 0.462
21 Na 0.575 0.750 0.800
22 Na 0.925 0.250 0.300
23 Na 0.075 0.750 0.700
24 Na 0.425 0.250 0.200

[4]
A plane-wave DFT calculation with GGA-PBE was carried out for Bi2Pd3Se2 after structural relaxation.

Output
Its symmetry is C2/m (12). The calculation puts the total energy at -66.3 eV/cell.

a = 7.299 Å, b = 7.299 Å, c = 7.469 Å
α = 108.89°, β = 109.89°, γ = 108.70°
Positions (direct):
1 Pd 0.000 0.500 0.000
2 Pd 0.719 0.972 0.691
3 Pd 0.276 0.276 0.000
4 Pd 0.281 0.028 0.309
5 Pd 0.500 0.000 0.000
6 Pd 0.724 0.724 0.000
7 Bi 0.489 0.747 0.236
8 Bi 0.014 0.785 0.800
9 Bi 0.986 0.215 0.200
10 Bi 0.511 0.253 0.764
11 Se 0.001 0.258 0.677
12 Se 0.419 0.676 0.677
13 Se 0.581 0.324 0.323
14 Se 0.999 0.742 0.323

[5]
A plane-wave DFT calculation with GGA-PBE was carried out for Ba2ReP6W after structural relaxation.

Output
Its symmetry is P-31c (163). The value obtained for the total moment is 0.0 μB per cell. The calculation puts the total energy at -128.9 eV/cell.

a = 6.977 Å, b = 6.977 Å, c = 11.221 Å
α = 90.00°, β = 90.00°, γ = 120.00°
Positions (direct):
1 P 0.203 0.328 0.636
2 P 0.875 0.203 0.364
3 P 0.328 0.125 0.364
4 P 0.672 0.875 0.636
5 P 0.672 0.797 0.864
6 P 0.203 0.875 0.864
7 P 0.875 0.672 0.136
8 P 0.125 0.797 0.636
9 P 0.125 0.328 0.864
10 P 0.328 0.203 0.136
11 P 0.797 0.672 0.364
12 P 0.797 0.125 0.136
13 Re 0.000 0.000 0.750
14 Re 0.000 0.000 0.250
15 Ba 0.333 0.667 0.417
16 Ba 0.333 0.667 0.083
17 Ba 0.667 0.333 0.583
18 Ba 0.667 0.333 0.917
19 W 0.667 0.333 0.250
20 W 0.333 0.667 0.750

[6]
A plane-wave DFT calculation with GGA-PBE was carried out for LiInAgPd after structural relaxation.

Output
Its symmetry is F-43m (216). As for the excess energy over the best structure of this formula in the dataset: 0 meV/atom. The calculation puts the total energy at -14.2 eV/cell.

a = 4.581 Å, b = 4.581 Å, c = 4.581 Å
α = 60.00°, β = 60.00°, γ = 60.00°
Positions (direct):
1 In 0.250 0.250 0.250
2 Li 0.750 0.750 0.750
3 Pd 0.000 0.000 0.000
4 Ag 0.500 0.500 0.500

[7]
A plane-wave DFT calculation with GGA-PBE was carried out for Li4Ga2CoPd after structural relaxation.

Output
Its symmetry is P-4m2 (115). The value obtained for the total moment is 0.0 μB per cell. The calculation puts the total energy at -28.8 eV/cell.

a = 4.195 Å, b = 4.195 Å, c = 5.966 Å
α = 90.00°, β = 90.00°, γ = 90.00°
Positions (direct):
1 Ga 0.500 0.000 0.227
2 Ga 0.000 0.500 0.773
3 Li 0.000 0.500 0.245
4 Li 0.500 0.000 0.755
5 Li 0.000 0.000 0.500
6 Li 0.500 0.500 0.000
7 Pd 0.500 0.500 0.500
8 Co 0.000 0.000 0.000

[8]
A plane-wave DFT calculation with GGA-PBE was carried out for ReNiSn2 after structural relaxation.

Output
Its symmetry is Ama2 (40). As for the excess energy over the best structure of this formula in the dataset: 98 meV/atom. The value obtained for the total moment is 0.0 μB per cell. The calculation puts the total energy at -48.5 eV/cell.

a = 4.694 Å, b = 6.081 Å, c = 6.081 Å
α = 125.73°, β = 90.00°, γ = 90.00°
Positions (direct):
1 Sn 0.750 0.354 0.192
2 Sn 0.250 0.164 0.806
3 Sn 0.750 0.806 0.164
4 Sn 0.250 0.192 0.354
5 Re 0.250 0.703 0.829
6 Re 0.750 0.829 0.703
7 Ni 0.750 0.325 0.627
8 Ni 0.250 0.627 0.325

[9]
A plane-wave DFT calculation with GGA-PBE was carried out for Sc2Al3Zn3 after structural relaxation.

Output
Its symmetry is Pm (6). As for the excess energy over the best structure of this formula in the dataset: 3 meV/atom. The value obtained for the total moment is 0.0 μB per cell. The calculation puts the total energy at -30.5 eV/cell.

a = 5.830 Å, b = 4.571 Å, c = 5.830 Å
α = 90.00°, β = 119.56°, γ = 90.00°
Positions (direct):
1 Al 0.157 0.500 0.315
2 Al 0.844 0.000 0.687
3 Al 0.319 0.000 0.159
4 Zn 0.838 0.000 0.164
5 Zn 0.677 0.500 0.838
6 Zn 0.165 0.500 0.836
7 Sc 0.335 0.000 0.668
8 Sc 0.666 0.500 0.332

[10]
A plane-wave DFT calculation with GGA-PBE was carried out for AcCuGe after structural relaxation.

Output
Its symmetry is F-43m (216). As for the excess energy over the best structure of this formula in the dataset: 828 meV/atom. The value obtained for the total moment is 0.0 μB per cell. The calculation puts the total energy at -11.7 eV/cell.

a = 5.051 Å, b = 5.051 Å, c = 5.051 Å
α = 60.00°, β = 60.00°, γ = 60.00°
Positions (direct):
1 Ge 0.750 0.750 0.750
2 Cu 0.250 0.250 0.250
3 Ac 0.000 0.000 0.000

[11]
A plane-wave DFT calculation with GGA-PBE was carried out for Dy2Tm2Lu3Ni2Te2 after structural relaxation.

Output
Its symmetry is Imm2 (44). As for the excess energy over the best structure of this formula in the dataset: 0 meV/atom. The value obtained for the total moment is 0.0 μB per cell. The calculation puts the total energy at -56.6 eV/cell.

a = 9.271 Å, b = 9.271 Å, c = 9.271 Å
α = 156.12°, β = 67.05°, γ = 118.39°
Positions (direct):
1 Lu 0.499 0.999 0.500
2 Lu 0.808 0.623 0.185
3 Lu 0.438 0.623 0.815
4 Te 0.162 0.662 0.500
5 Te 0.765 0.765 0.000
6 Dy 0.052 0.418 0.634
7 Dy 0.783 0.418 0.366
8 Ni 0.195 0.931 0.264
9 Ni 0.667 0.931 0.736
10 Tm 0.125 0.271 0.854
11 Tm 0.417 0.271 0.146

[12]
A plane-wave DFT calculation with GGA-PBE was carried out for Dy3TeN2 after structural relaxation.

Output
Its symmetry is P-3m1 (164). The value obtained for the total moment is 0.0 μB per cell. The calculation puts the total energy at -42.5 eV/cell.

a = 3.635 Å, b = 3.635 Å, c = 9.740 Å
α = 90.00°, β = 90.00°, γ = 120.00°
Positions (direct):
1 Dy 0.333 0.667 0.730
2 Dy 0.000 0.000 0.000
3 Dy 0.667 0.333 0.270
4 N 0.667 0.333 0.852
5 N 0.333 0.667 0.148
6 Te 0.000 0.000 0.500